CrReSbC2 (PBE, relaxed); final energy = -7.36 eV/atom; space group = P4/mmm (123); ΔE_f (raw) = 1565 meV/atom; M_tot = 0.33 μB/cell; density of states at the Fermi level = 1.302 states/eV/atom
1.0
3.9741 0.0000 0.0000
0.0000 3.9741 0.0000
0.0000 0.0000 5.0267
Cr Re Sb C
1 1 1 2
Direct
0.0000 0.0000 0.0000
0.0000 0.0000 0.5000
0.5000 0.5000 0.0000
0.0000 0.5000 0.5000
0.5000 0.0000 0.5000